Entry 1:
Compound: TlNiSb2I
Source: Alexandria
Functional: GGA-PBE
Structure: relaxed

```
5
Lattice="-2.184 -2.783 3.259 -1.280 -3.067 -3.477 7.276 -4.352 1.161" Properties=species:S:1:pos:R:3 pbc="T T T"
Sb -0.640 -1.534 -1.739
Sb -1.092 -1.391 1.630
I 3.638 -2.176 0.580
Ni 0.000 0.000 0.000
Tl 1.906 -5.101 0.471
```

Properties
The theoretical density comes out at 5.31 g/cm³. Its crystal system is tetragonal. The uncorrected energy is -17.243 eV per formula unit. The value obtained for the energy relative to the lowest polymorph listed for this composition is 0 meV/atom. The calculation puts the total moment at 0.00 μB/f.u.


Entry 2:
Compound: Nd4SmTh
Source: Alexandria
Functional: GGA-PBE
Structure: relaxed

```
12
Lattice="6.562 -0.441 0.000 -2.871 5.917 0.000 0.000 0.000 11.097" Properties=species:S:1:pos:R:3 pbc="T T T"
Nd 3.441 1.663 6.241
Nd 0.250 3.814 0.693
Nd 0.151 1.931 8.323
Nd 1.958 4.612 8.323
Nd 0.250 3.814 4.856
Nd 1.733 0.864 2.774
Nd 3.441 1.663 10.404
Nd 3.540 3.546 2.774
Sm 4.956 0.642 2.774
Sm -1.265 4.835 8.323
Th 0.000 0.000 0.000
Th 0.000 0.000 5.549
```

Properties
As for the energy relative to the elements: 241 meV/atom. The theoretical density comes out at 7.64 g/cm³. Its crystal system is orthorhombic. The uncorrected energy is -29.766 eV per formula unit. The value obtained for the energy relative to the lowest polymorph listed for this composition is 203 meV/atom. The calculation puts the total moment at 0.00 μB/f.u.


Entry 3:
Compound: B3PC
Source: Alexandria
Functional: GGA-PBE
Structure: relaxed

```
5
Lattice="-1.348 0.262 -2.539 -1.789 -2.604 -0.962 -5.306 1.695 1.304" Properties=species:S:1:pos:R:3 pbc="T T T"
B -7.494 0.520 -1.586
B -4.856 0.245 -1.365
B -4.159 -1.523 -0.265
P -2.540 -2.040 -1.152
C -4.784 -0.148 0.200
```

Properties
As for the energy relative to the elements: 252 meV/atom. The theoretical density comes out at 2.66 g/cm³. Its crystal system is triclinic. The uncorrected energy is -33.408 eV per formula unit. The value obtained for the energy relative to the lowest polymorph listed for this composition is 4 meV/atom. The calculation puts the total moment at 0.00 μB/f.u.


Entry 4:
Compound: Ta3VB6
Source: Alexandria
Functional: GGA-PBE
Structure: relaxed

```
20
Lattice="-0.635 2.991 -5.107 -5.452 0.923 2.201 2.876 4.200 3.084" Properties=species:S:1:pos:R:3 pbc="T T T"
B -2.208 0.729 0.418
B -2.363 5.409 -1.694
B -3.514 4.889 1.206
B -3.812 6.295 -1.204
B -0.595 6.053 0.848
B -1.004 7.385 -0.239
B -0.046 1.631 -1.708
B -0.849 2.705 1.873
B 0.303 3.225 -1.027
B 0.600 1.819 1.382
B -3.165 6.483 1.887
B -2.617 2.062 -0.670
Ta -1.628 4.772 2.737
Ta 0.122 5.557 -1.422
Ta -3.334 2.557 1.601
Ta -1.584 3.342 -2.558
Ta 0.903 4.244 1.180
Ta -4.115 3.871 -1.002
V -1.606 4.057 0.089
V 0.000 0.000 0.000
```

Properties
As for the energy relative to the elements: -496 meV/atom. The theoretical density comes out at 10.73 g/cm³. Its crystal system is trigonal. The uncorrected energy is -89.705 eV per formula unit. The calculation puts the total moment at 0.00 μB/f.u.


Entry 5:
Compound: GaPO
Source: Alexandria
Functional: GGA-PBE
Structure: relaxed

```
6
Lattice="-1.853 -1.251 1.243 4.412 -1.234 5.335 -0.582 5.137 1.669" Properties=species:S:1:pos:R:3 pbc="T T T"
O 2.093 0.381 3.502
O -1.836 2.753 2.665
P 1.924 -0.391 5.107
P -0.102 3.087 2.953
Ga 1.291 1.755 6.322
Ga 0.716 0.889 1.962
```

Properties
The theoretical density comes out at 4.08 g/cm³. Its crystal system is orthorhombic. The uncorrected energy is -14.650 eV per formula unit. The value obtained for the energy relative to the lowest polymorph listed for this composition is 587 meV/atom. The calculation puts the total moment at 0.00 μB/f.u.


Entry 6:
Compound: Pm6Pr5Pu
Source: Alexandria
Functional: GGA-PBE
Structure: relaxed

```
12
Lattice="6.147 0.000 1.573 3.073 5.506 0.787 -0.871 0.000 12.041" Properties=species:S:1:pos:R:3 pbc="T T T"
Pm 3.931 3.698 10.247
Pm 1.301 0.000 3.355
Pm 3.975 0.000 10.259
Pm 4.419 1.808 4.154
Pm 7.492 3.698 4.940
Pm 0.857 1.808 9.460
Pr 5.711 1.831 7.594
Pr 2.638 0.000 6.807
Pr 3.073 1.835 0.787
Pr 2.638 3.675 6.807
Pr 6.147 3.671 1.573
Pu 0.000 0.000 0.000
```

Properties
As for the energy relative to the elements: 53 meV/atom. The theoretical density comes out at 7.28 g/cm³. Its crystal system is monoclinic. The uncorrected energy is -66.099 eV per formula unit. The calculation puts the total moment at 6.70 μB/f.u.